No. 1
DFT (PBE) results for a geometry-optimized CaAlRe2Mo structure.

Unit cell a=4.7857 b=4.8931 c=4.7857 alpha=90.00 beta=90.00 gamma=90.00
Last column: nearest neighbours and their distance in Å.
Element x y z (fractional)
Re: 0.5000 0.0000 0.0000  2 Mo 2.39
Ca: 0.5000 0.5000 0.5000  4 Al 3.38, 8 Re 3.42
Mo: 0.0000 0.0000 0.0000  4 Re 2.39, 2 Al 2.45
Al: 0.0000 0.5000 0.0000  2 Mo 2.45
Re: 0.0000 0.0000 0.5000  2 Mo 2.39

distance to the lowest polymorph of the same formula	0.000	eV/atom
size of the total moment	0.142	μB/atom
ΔH_f (0 K)	1.171	eV per atom

***

No. 2
DFT (PBE) results for a geometry-optimized CaAl2SnMo structure.

Unit cell a=4.9637 b=5.2329 c=4.9637 alpha=90.00 beta=90.00 gamma=90.00
Last column: nearest neighbours and their distance in Å.
Element x y z (fractional)
Sn: 0.5000 0.5000 0.5000  4 Ca 3.51, 8 Al 3.61
Mo: 0.0000 0.0000 0.0000  4 Al 2.48, 2 Ca 2.62
Ca: 0.0000 0.5000 0.0000  2 Mo 2.62
Al: 0.0000 0.0000 0.5000  2 Mo 2.48
Al: 0.5000 0.0000 0.0000  2 Mo 2.48

size of the total moment	0.000	μB/atom
ΔH_f (0 K)	0.580	eV per atom

***

No. 3
DFT (PBE) results for a geometry-optimized Ca2TaAlMo structure.

Unit cell a=5.3260 b=4.9701 c=5.3260 alpha=90.00 beta=90.00 gamma=90.00
Last column: nearest neighbours and their distance in Å.
Element x y z (fractional)
Ca: 0.0000 0.0000 0.5000  2 Ta 2.66
Mo: 0.5000 0.5000 0.5000  8 Ca 3.64, 4 Al 3.77
Ca: 0.5000 0.0000 0.0000  2 Ta 2.66
Al: 0.0000 0.5000 0.0000  2 Ta 2.49
Ta: 0.0000 0.0000 0.0000  2 Al 2.49, 4 Ca 2.66

size of the total moment	0.000	μB/atom
ΔH_f (0 K)	1.938	eV per atom

***

No. 4
DFT (PBE) results for a geometry-optimized Ca2TiAlMo structure.

Unit cell a=5.3205 b=4.9680 c=5.3205 alpha=90.00 beta=90.00 gamma=90.00
Last column: nearest neighbours and their distance in Å.
Element x y z (fractional)
Ca: 0.0000 0.0000 0.5000  2 Mo 2.66
Mo: 0.0000 0.0000 0.0000  2 Al 2.48, 4 Ca 2.66
Ti: 0.5000 0.5000 0.5000  8 Ca 3.64, 4 Al 3.76
Al: 0.0000 0.5000 0.0000  2 Mo 2.48
Ca: 0.5000 0.0000 0.0000  2 Mo 2.66

distance to the lowest polymorph of the same formula	0.000	eV/atom
size of the total moment	0.589	μB/atom
ΔH_f (0 K)	1.088	eV per atom